A plane-wave DFT calculation with meta-GGA SCAN was carried out for a PBEsol-optimized structure of Hg2SbAu.

Structure (CIF):
```
data_Hg2SbAu
_space_group_name_H-M_alt 'P m m m'
_space_group_IT_number 47
_space_group_name_Hall '-P 2 2'
_cell_length_a 3.791
_cell_length_b 4.312
_cell_length_c 5.805
_cell_angle_alpha 90.00
_cell_angle_beta 90.00
_cell_angle_gamma 90.00
loop_
_atom_site_label
_atom_site_type_symbol
_atom_site_fract_x
_atom_site_fract_y
_atom_site_fract_z
Hg1 Hg 0.000 0.000 0.000
Hg2 Hg 0.500 0.500 0.000
Sb1 Sb 0.000 0.000 0.500
Au1 Au 0.500 0.500 0.500
```

- Theoretical density: 12598 kg/m3
- Formation energy (no corrections): -5 meV per atom

***

A plane-wave DFT calculation with meta-GGA SCAN was carried out for a PBEsol-optimized structure of Tl2Cd3Sb3.

Structure (CIF):
```
data_Tl2Cd3Sb3
_space_group_name_H-M_alt 'C 1 2/m 1'
_space_group_IT_number 12
_space_group_name_Hall '-C 2y'
_cell_length_a 17.026
_cell_length_b 4.893
_cell_length_c 11.767
_cell_angle_alpha 90.00
_cell_angle_beta 112.11
_cell_angle_gamma 90.00
loop_
_atom_site_label
_atom_site_type_symbol
_atom_site_fract_x
_atom_site_fract_y
_atom_site_fract_z
Tl1 Tl 0.177 0.000 0.383
Tl2 Tl 0.189 0.500 0.888
Cd1 Cd 0.058 0.000 0.773
Cd2 Cd 0.105 0.500 0.567
Cd3 Cd 0.135 0.500 0.159
Sb1 Sb 0.031 0.500 0.309
Sb2 Sb 0.089 0.000 0.029
Sb3 Sb 0.192 0.000 0.678
```

- Theoretical density: 8127 kg/m3
- Formation energy (no corrections): -86 meV per atom

***

A plane-wave DFT calculation with meta-GGA SCAN was carried out for a PBEsol-optimized structure of TaCo2Br.

Structure (CIF):
```
data_TaCo2Br
_space_group_name_H-M_alt 'I m m m'
_space_group_IT_number 71
_space_group_name_Hall '-I 2 2'
_cell_length_a 2.955
_cell_length_b 4.407
_cell_length_c 8.303
_cell_angle_alpha 90.00
_cell_angle_beta 90.00
_cell_angle_gamma 90.00
loop_
_atom_site_label
_atom_site_type_symbol
_atom_site_fract_x
_atom_site_fract_y
_atom_site_fract_z
Ta1 Ta 0.000 0.000 0.000
Co1 Co 0.000 0.500 0.238
Br1 Br 0.000 0.000 0.500
```

- Polymorph energy (0 for the lowest one): 49.0 kJ/mol of atoms
- Theoretical density: 11632 kg/m3
- Formation energy (no corrections): 833 meV per atom

***

A plane-wave DFT calculation with meta-GGA SCAN was carried out for a PBEsol-optimized structure of LiZr2P3O12.

Structure (CIF):
```
data_LiZr2P3O12
_space_group_name_H-M_alt 'R -3 c'
_space_group_IT_number 167
_space_group_name_Hall '-R 3 2"c'
_cell_length_a 8.8471
_cell_length_b 8.8471
_cell_length_c 21.8421
_cell_angle_alpha 90.00
_cell_angle_beta 90.00
_cell_angle_gamma 120.00
loop_
_atom_site_label
_atom_site_type_symbol
_atom_site_fract_x
_atom_site_fract_y
_atom_site_fract_z
Li1 Li 0.0000 0.0000 0.0000
Zr1 Zr 0.0000 0.0000 0.1422
P1 P 0.0000 0.2940 0.2500
O1 O 0.0024 0.1946 0.3074
O2 O 0.0204 0.1898 0.9203
```

- Polymorph energy (0 for the lowest one): 1.8 kJ/mol of atoms
- Theoretical density: 3192 kg/m3
- Formation energy (no corrections): -2994 meV per atom

***

A plane-wave DFT calculation with meta-GGA SCAN was carried out for a PBEsol-optimized structure of CrCdCo2.

Structure (CIF):
```
data_CrCdCo2
_space_group_name_H-M_alt 'P 4 m m'
_space_group_IT_number 99
_space_group_name_Hall 'P 4 -2'
_cell_length_a 2.614
_cell_length_b 2.614
_cell_length_c 7.401
_cell_angle_alpha 90.00
_cell_angle_beta 90.00
_cell_angle_gamma 90.00
loop_
_atom_site_label
_atom_site_type_symbol
_atom_site_fract_x
_atom_site_fract_y
_atom_site_fract_z
Cr1 Cr 0.000 0.000 0.000
Cd1 Cd 0.500 0.500 0.296
Co1 Co 0.000 0.000 0.576
Co2 Co 0.500 0.500 0.782
```

- ΔH_f (0 K): 0.3783 eV per atom
- Theoretical density: 9266 kg/m3

***

A plane-wave DFT calculation with meta-GGA SCAN was carried out for a PBEsol-optimized structure of TaGeSb2I.

Structure (CIF):
```
data_TaGeSb2I
_space_group_name_H-M_alt 'P 4/m m m'
_space_group_IT_number 123
_space_group_name_Hall '-P 4 2'
_cell_length_a 5.359
_cell_length_b 5.359
_cell_length_c 5.309
_cell_angle_alpha 90.00
_cell_angle_beta 90.00
_cell_angle_gamma 90.00
loop_
_atom_site_label
_atom_site_type_symbol
_atom_site_fract_x
_atom_site_fract_y
_atom_site_fract_z
Ta1 Ta 0.000 0.000 0.000
Ge1 Ge 0.500 0.500 0.500
Sb1 Sb 0.000 0.500 0.000
I1 I 0.000 0.000 0.500
```

- Theoretical density: 6797 kg/m3
- Formation energy (no corrections): 836 meV per atom

***

A plane-wave DFT calculation with meta-GGA SCAN was carried out for a PBEsol-optimized structure of RuPtW2.

Structure (CIF):
```
data_RuPtW2
_space_group_name_H-M_alt 'C m m m'
_space_group_IT_number 65
_space_group_name_Hall '-C 2 2'
_cell_length_a 5.485
_cell_length_b 7.838
_cell_length_c 2.744
_cell_angle_alpha 90.00
_cell_angle_beta 90.00
_cell_angle_gamma 90.00
loop_
_atom_site_label
_atom_site_type_symbol
_atom_site_fract_x
_atom_site_fract_y
_atom_site_fract_z
Ru1 Ru 0.000 0.000 0.000
Pt1 Pt 0.000 0.500 0.000
W1 W 0.250 0.250 0.500
```

- Polymorph energy (0 for the lowest one): 6.1 kJ/mol of atoms
- ΔH_f (0 K): -0.1645 eV per atom
- Theoretical density: 18689 kg/m3

***

A plane-wave DFT calculation with meta-GGA SCAN was carried out for a PBEsol-optimized structure of SbTe.

Structure (CIF):
```
data_SbTe
_space_group_name_H-M_alt 'P 4/n m m'
_space_group_IT_number 129
_cell_length_a 3.742
_cell_length_b 3.742
_cell_length_c 8.248
_cell_angle_alpha 90.00
_cell_angle_beta 90.00
_cell_angle_gamma 90.00
loop_
_space_group_symop_operation_xyz
'x,y,z'
'-x,-y,-z'
'-y+1/2,x,z'
'y+1/2,-x,-z'
'-x+1/2,-y+1/2,z'
'x+1/2,y+1/2,-z'
'y,-x+1/2,z'
'-y,x+1/2,-z'
'x+1/2,-y,-z'
'-x+1/2,y,z'
'-y,-x,-z'
'y,x,z'
'-x,y+1/2,-z'
'x,-y+1/2,z'
'y+1/2,x+1/2,-z'
'-y+1/2,-x+1/2,z'
loop_
_atom_site_label
_atom_site_type_symbol
_atom_site_fract_x
_atom_site_fract_y
_atom_site_fract_z
Sb1 Sb 0.250 0.250 0.148
Te1 Te 0.250 0.250 0.671
```

- Polymorph energy (0 for the lowest one): 24.3 kJ/mol of atoms
- Theoretical density: 7170 kg/m3
- Formation energy (no corrections): 171 meV per atom

***

A plane-wave DFT calculation with meta-GGA SCAN was carried out for a PBEsol-optimized structure of AlInAg2.

Structure (CIF):
```
data_AlInAg2
_space_group_name_H-M_alt 'F -4 3 m'
_space_group_IT_number 216
_space_group_name_Hall 'F -4 2 3'
_cell_length_a 6.648
_cell_length_b 6.648
_cell_length_c 6.648
_cell_angle_alpha 90.00
_cell_angle_beta 90.00
_cell_angle_gamma 90.00
loop_
_atom_site_label
_atom_site_type_symbol
_atom_site_fract_x
_atom_site_fract_y
_atom_site_fract_z
Al1 Al 0.000 0.000 0.000
In1 In 0.250 0.250 0.750
Ag1 Ag 0.000 0.000 0.500
Ag2 Ag 0.250 0.250 0.250
```

- ΔH_f (0 K): 0.1324 eV per atom
- Theoretical density: 8081 kg/m3

***

A plane-wave DFT calculation with meta-GGA SCAN was carried out for a PBEsol-optimized structure of CuMo3I.

Structure (CIF):
```
data_CuMo3I
_space_group_name_H-M_alt 'P m -3 m'
_space_group_IT_number 221
_space_group_name_Hall '-P 4 2 3'
_cell_length_a 4.783
_cell_length_b 4.783
_cell_length_c 4.783
_cell_angle_alpha 90.00
_cell_angle_beta 90.00
_cell_angle_gamma 90.00
loop_
_atom_site_label
_atom_site_type_symbol
_atom_site_fract_x
_atom_site_fract_y
_atom_site_fract_z
Cu1 Cu 0.000 0.000 0.000
Mo1 Mo 0.000 0.500 0.500
I1 I 0.500 0.500 0.500
```

- Theoretical density: 7256 kg/m3
- Formation energy (no corrections): 2455 meV per atom

***

A plane-wave DFT calculation with meta-GGA SCAN was carried out for a PBEsol-optimized structure of Zr2NiSe.

Structure (CIF):
```
data_Zr2NiSe
_space_group_name_H-M_alt 'P 4 m m'
_space_group_IT_number 99
_space_group_name_Hall 'P 4 -2'
_cell_length_a 3.720
_cell_length_b 3.720
_cell_length_c 5.342
_cell_angle_alpha 90.00
_cell_angle_beta 90.00
_cell_angle_gamma 90.00
loop_
_atom_site_label
_atom_site_type_symbol
_atom_site_fract_x
_atom_site_fract_y
_atom_site_fract_z
Zr1 Zr 0.000 0.000 0.000
Zr2 Zr 0.500 0.500 0.499
Ni1 Ni 0.000 0.000 0.499
Se1 Se 0.500 0.500 0.998
```

- Theoretical density: 7191 kg/m3
- Formation energy (no corrections): -776 meV per atom

***

A plane-wave DFT calculation with meta-GGA SCAN was carried out for a PBEsol-optimized structure of CoRuPb2.

Structure (CIF):
```
data_CoRuPb2
_space_group_name_H-M_alt 'C 1 2/m 1'
_space_group_IT_number 12
_space_group_name_Hall '-C 2y'
_cell_length_a 8.143
_cell_length_b 3.262
_cell_length_c 5.590
_cell_angle_alpha 90.00
_cell_angle_beta 103.48
_cell_angle_gamma 90.00
loop_
_atom_site_label
_atom_site_type_symbol
_atom_site_fract_x
_atom_site_fract_y
_atom_site_fract_z
Co1 Co 0.000 0.000 0.000
Ru1 Ru 0.000 0.500 0.500
Pb1 Pb 0.246 0.500 0.242
```

- Polymorph energy (0 for the lowest one): 4.4 kJ/mol of atoms
- ΔH_f (0 K): 0.6519 eV per atom
- Theoretical density: 13209 kg/m3

***

A plane-wave DFT calculation with meta-GGA SCAN was carried out for a PBEsol-optimized structure of LaSiSb2.

Structure (CIF):
```
data_LaSiSb2
_space_group_name_H-M_alt 'I 4/m m m'
_space_group_IT_number 139
_space_group_name_Hall '-I 4 2'
_cell_length_a 4.405
_cell_length_b 4.405
_cell_length_c 10.230
_cell_angle_alpha 90.00
_cell_angle_beta 90.00
_cell_angle_gamma 90.00
loop_
_atom_site_label
_atom_site_type_symbol
_atom_site_fract_x
_atom_site_fract_y
_atom_site_fract_z
La1 La 0.000 0.000 0.000
Si1 Si 0.000 0.000 0.500
Sb1 Sb 0.000 0.500 0.250
```

- Theoretical density: 6868 kg/m3
- Formation energy (no corrections): -375 meV per atom